# Ta2CoPb

A geometry-optimized Ta2CoPb structure (GGA-PBE, Alexandria).

Energy of formation: 0.300 eV per atom
E: -8.330 eV per atom

CIF file:
```
data_Ta2CoPb
_cell_length_a 4.046
_cell_length_b 4.487
_cell_length_c 7.911
_cell_angle_alpha 90.00
_cell_angle_beta 90.00
_cell_angle_gamma 90.00
_space_group_name_H-M_alt 'C m m m'
_space_group_IT_number 65
_space_group_name_Hall '-C 2 2'
loop_
_atom_site_label
_atom_site_fract_x
_atom_site_fract_y
_atom_site_fract_z
_atom_site_occupancy
Ta1 0.000 0.000 0.198 1
Co1 0.000 0.500 0.000 1
Pb1 0.000 0.500 0.500 1
```